(1)
DFT (PBE) results for a geometry-optimized NbZn3 structure.

Lattice parameters (Å, degrees): 3.943 3.943 3.943 90.00 90.00 90.00
Positions (direct):
Nb  0.000  0.000  0.000
Zn  0.000  0.500  0.500
Zn  0.500  0.000  0.500
Zn  0.500  0.500  0.000

Results
total magnetization = 0.00 μB/f.u.
SG = Pm-3m
ΔE_f = -154 meV/atom

***

(2)
DFT (PBE) results for a geometry-optimized PmPr2Y6Er structure.

Lattice parameters (Å, degrees): 8.814 8.814 9.845 95.04 95.04 117.63
Positions (direct):
Pm  0.017  0.983  0.750
Pm  0.983  0.017  0.250
Pr  0.194  0.292  0.545
Pr  0.292  0.194  0.045
Pr  0.708  0.806  0.955
Pr  0.806  0.708  0.455
Y  0.018  0.574  0.687
Y  0.121  0.741  0.057
Y  0.259  0.879  0.443
Y  0.298  0.508  0.883
Y  0.426  0.982  0.813
Y  0.492  0.702  0.617
Y  0.508  0.298  0.383
Y  0.574  0.018  0.187
Y  0.702  0.492  0.117
Y  0.741  0.121  0.557
Y  0.879  0.259  0.943
Y  0.982  0.426  0.313
Er  0.406  0.594  0.250
Er  0.594  0.406  0.750

Results
total magnetization = 0.00 μB/f.u.
SG = C2/c
ΔE_f = 111 meV/atom

***

Number 1: total DFT energy (no corrections) -3.63 eV/atom. Number 2: total DFT energy (no corrections) -5.65 eV/atom.